Entry from Alexandria via LeMat-Bulk: a geometry-optimized SbWNO2 structure (GGA+U).

Lattice parameters (Å, degrees): 4.003 4.003 4.218 90.00 90.00 90.00
Space group P4/mmm (No. 123)
Inequivalent atoms, fractional coordinates:
Sb: 0.000 0.000 0.000 x1
W: 0.500 0.500 0.000 x1
N: 0.000 0.000 0.500 x1
O: 0.000 0.500 0.500 x2

Results
total energy = -4.5810 eV/atom
M_tot = 2.42 μB per formula unit